BaHgH2 | GGA-PBE | optimized geometry

Results
Energy relative to the lowest polymorph listed for this composition, eV per atom: 0.185
Calculated density, g/cm³: 5.390

```
BaHgH2
1.0
-2.696 2.696 7.206
2.696 -2.696 7.206
2.696 2.696 -7.206
Ba Hg H
2 2 4
Cartesian
0.000 0.000 0.000
0.000 2.696 3.603
2.696 0.000 3.603
0.000 0.000 7.206
4.044 1.055 -1.801
1.055 1.348 1.801
-1.348 1.640 5.404
1.640 1.348 9.007
```


NdLuCo | GGA-PBE | optimized geometry

Results
Energy relative to the lowest polymorph listed for this composition, eV per atom: 0.000
Formation enthalpy at 0 K, meV/atom: -74
Calculated density, g/cm³: 8.661

```
NdLuCo
1.0
-1.691 1.691 6.339
1.691 -1.691 6.339
1.691 1.691 -6.339
Nd Lu Co
1 1 1
Cartesian
0.000 0.000 0.000
0.000 0.000 3.274
0.000 0.000 8.127
```


AlCu2Ru | GGA-PBE | optimized geometry

Results
Formation enthalpy at 0 K, meV/atom: 39
Calculated density, g/cm³: 8.124

```
AlCu2Ru
1.0
3.060 0.000 0.000
0.000 3.060 0.000
0.000 0.000 5.569
Al Cu Ru
1 2 1
Cartesian
0.000 0.000 0.000
1.530 1.530 1.337
1.530 1.530 4.232
0.000 0.000 2.785
```


CdSn2H | GGA-PBE | optimized geometry

Results
Energy relative to the lowest polymorph listed for this composition, eV per atom: 0.075
Calculated density, g/cm³: 6.917

```
CdSn2H
1.0
0.000 3.479 3.479
3.479 0.000 3.479
3.479 3.479 0.000
Cd Sn H
1 2 1
Cartesian
0.000 0.000 0.000
1.740 1.740 1.740
5.219 5.219 5.219
3.479 3.479 3.479
```


MgGe2As2 | GGA-PBE | optimized geometry

Results
Energy relative to the lowest polymorph listed for this composition, eV per atom: 0.056
Formation enthalpy at 0 K, meV/atom: 146
Calculated density, g/cm³: 4.800

```
MgGe2As2
1.0
-2.604 2.604 4.075
2.604 -2.604 4.075
2.604 2.604 -4.075
Mg Ge As
1 2 2
Cartesian
0.000 0.000 0.000
2.604 0.000 2.038
0.000 2.604 2.038
0.000 0.000 2.714
0.000 0.000 5.436
```


SmMg3Cu | GGA-PBE | optimized geometry

Results
Energy relative to the lowest polymorph listed for this composition, eV per atom: 0.000
Formation enthalpy at 0 K, meV/atom: -131
Calculated density, g/cm³: 4.234

```
SmMg3Cu
1.0
4.178 -6.190 0.000
4.178 6.190 0.000
0.000 0.000 4.349
Sm Mg Cu
2 6 2
Cartesian
4.178 3.606 0.000
4.178 -3.606 0.000
0.000 0.000 2.175
2.546 1.584 2.175
2.546 -1.584 2.175
4.178 0.000 0.000
5.810 1.584 2.175
5.810 -1.584 2.175
1.561 0.000 0.000
6.795 0.000 0.000
```


CsY3As | GGA-PBE | optimized geometry

Results
Energy relative to the lowest polymorph listed for this composition, eV per atom: 0.000
Formation enthalpy at 0 K, meV/atom: -2
Calculated density, g/cm³: 4.304

```
CsY3As
1.0
5.678 0.000 0.000
0.000 5.678 0.000
0.000 0.000 5.678
Cs Y As
1 3 1
Cartesian
0.000 0.000 0.000
0.000 2.839 2.839
2.839 0.000 2.839
2.839 2.839 0.000
2.839 2.839 2.839
```


LiSc2B2Ru5 | GGA-PBE | optimized geometry

Results
Formation enthalpy at 0 K, meV/atom: -364
Calculated density, g/cm³: 7.949

```
LiSc2B2Ru5
1.0
9.239 0.000 0.000
0.000 9.239 0.000
0.000 0.000 3.053
Li Sc B Ru
2 4 4 10
Cartesian
0.000 0.000 0.000
4.620 4.620 0.000
1.596 3.023 0.000
3.023 7.643 0.000
6.216 1.596 0.000
7.643 6.216 0.000
1.191 5.810 0.000
3.429 1.191 0.000
5.810 8.049 0.000
8.049 3.429 0.000
0.000 4.620 1.527
0.661 7.305 1.527
1.934 0.661 1.527
2.686 5.281 1.527
3.958 2.686 1.527
4.620 0.000 1.527
5.281 6.554 1.527
6.554 3.958 1.527
7.305 8.578 1.527
8.578 1.934 1.527
```


InHgBr2 | GGA-PBE | optimized geometry

Results
Formation energy (no corrections), eV/atom: -0.152
Energy relative to the lowest polymorph listed for this composition, eV per atom: 0.412
Calculated density, g/cm³: 6.799

```
InHgBr2
1.0
0.000 3.871 3.871
3.871 0.000 3.871
3.871 3.871 0.000
In Hg Br
1 1 2
Cartesian
0.000 0.000 0.000
1.936 1.936 1.936
3.871 3.871 3.871
5.807 5.807 5.807
```


Be4PdPt3 | GGA-PBE | optimized geometry

Results
Formation enthalpy at 0 K, meV/atom: -730
Calculated density, g/cm³: 13.113

```
Be4PdPt3
1.0
2.800 0.000 0.000
0.000 2.800 0.000
0.000 0.000 11.751
Be Pd Pt
4 1 3
Cartesian
0.000 0.000 1.468
0.000 0.000 4.405
0.000 0.000 7.346
0.000 0.000 10.283
1.400 1.400 0.000
1.400 1.400 2.913
1.400 1.400 5.875
1.400 1.400 8.838
```


YTl2As2O6 | GGA-PBE | optimized geometry

Results
Formation energy (no corrections), eV/atom: -1.594
Calculated density, g/cm³: 6.141

```
YTl2As2O6
1.0
4.982 -3.022 0.000
4.982 3.022 0.000
-3.329 0.000 6.678
Y Tl As O
1 2 2 6
Cartesian
0.000 0.000 0.000
-0.172 0.000 4.612
6.807 0.000 2.066
3.447 0.000 1.810
3.188 0.000 4.868
2.108 1.372 5.161
2.225 0.000 0.534
4.527 1.372 1.517
2.108 -1.372 5.161
4.409 0.000 6.144
4.527 -1.372 1.517
```


Cu3S2I | GGA-PBE | optimized geometry

Results
Formation energy (no corrections), eV/atom: -0.029
Energy relative to the lowest polymorph listed for this composition, eV per atom: 0.148
Calculated density, g/cm³: 4.610

```
Cu3S2I
1.0
7.210 -1.841 0.000
7.210 1.841 0.000
-1.375 0.000 10.360
Cu S I
6 4 2
Cartesian
0.395 0.000 4.369
3.641 0.000 5.793
5.634 0.000 4.009
7.412 0.000 6.351
9.405 0.000 4.568
12.651 0.000 5.991
1.531 0.000 6.473
5.365 0.000 7.327
7.681 0.000 3.033
11.514 0.000 3.888
2.453 0.000 0.580
10.593 0.000 9.780
```